{"formula": "VHg2PdO4", "functional": "PBE+U", "state": "relaxed", "cell": [[5.649, 0.000, 0.000], [0.000, 7.218, 0.000], [0.000, 0.000, 6.500]], "species": ["V", "V", "Hg", "Hg", "Hg", "Hg", "Pd", "Pd", "O", "O", "O", "O", "O", "O", "O", "O"], "fractional_positions": [[0.517, 0.898, 0.500], [0.017, 0.102, 0.000], [0.483, 0.359, 0.252], [0.483, 0.359, 0.748], [0.983, 0.641, 0.752], [0.983, 0.641, 0.248], [0.949, 0.353, 0.500], [0.449, 0.647, 0.000], [0.318, 0.141, 0.000], [0.818, 0.859, 0.500], [0.443, 0.142, 0.500], [0.943, 0.858, 0.000], [0.404, 0.794, 0.720], [0.904, 0.206, 0.220], [0.904, 0.206, 0.780], [0.404, 0.794, 0.280]], "sg": "Pmn2_1 (31)", "energy_ev_per_atom": -4.949, "m_tot_mub_per_fu": 0.00}